ReSbS2 | GGA-PBE | relaxed

POSCAR file:
```
ReSbS2
1.0
1.6456 0.9501 8.7276
-1.6456 0.9501 8.7276
0.0000 -1.9002 8.7276
Re Sb S
1 1 2
Cartesian
0.0000 0.0000 0.0000
0.0000 0.0000 13.0915
0.0000 0.0000 10.2297
0.0000 0.0000 15.9533
```

Values from the calculation:
Space-group type ... R-3m
ΔE_f (raw) ... -19 meV/atom
M_tot ... 0.0 μB per formula unit